(1)
# ScHgPb2

Crystalline ScHgPb2 at its relaxed geometry (GGA-PBEsol, Alexandria).

The value obtained for the total DFT energy (no corrections) is -3.987 eV/atom.

Lattice parameters (Å, degrees): 3.406 3.406 8.649 90.00 90.00 90.00
Space group P4mm (No. 99)
Symmetry-distinct sites (fractional):
Sc 0.000 0.000 0.000
Hg 0.500 0.500 0.197
Pb 0.000 0.000 0.451
Pb 0.500 0.500 0.756

***

(2)
# Ba2YZr

Crystalline Ba2YZr at its relaxed geometry (GGA-PBEsol, Alexandria).

The distance to the lowest polymorph of the same formula comes out at 0.044 eV/atom.

Lattice parameters (Å, degrees): 3.578 3.578 10.993 90.00 90.00 90.00
Space group P4/mmm (No. 123)
Symmetry-distinct sites (fractional):
Ba 0.000 0.000 0.232
Y 0.500 0.500 0.500
Zr 0.500 0.500 0.000

***

(3)
# In2BAuBr

Crystalline In2BAuBr at its relaxed geometry (GGA-PBEsol, Alexandria).

The calculation puts the formation energy from raw total energies at 0.505 eV per formula unit.

Lattice parameters (Å, degrees): 5.042 5.042 4.220 90.00 90.00 90.00
Space group P4/mmm (No. 123)
Symmetry-distinct sites (fractional):
In 0.000 0.500 0.000
B 0.000 0.000 0.000
Au 0.000 0.000 0.500
Br 0.500 0.500 0.500

***

| no. | volume (Å³ per cell) |
| --- | --- |
| 1 | 100 |
| 2 | 141 |
| 3 | 107 |